VASP calculation (GGA-PBE) on a relaxed structure of Re2Mo.

energy above the most stable polymorph in this dataset = 1358 meV per atom
energy of formation from the pure elements = 1.4729 eV per atom
M_tot = 0.00 μB per cell
DOS at the Fermi energy = 4.144 states/eV/f.u.

Lattice parameters (Å, degrees): 6.055 6.055 6.055 90.00 90.00 90.00
Fractional coordinates of all 12 atoms:
Re 0.118 0.618 0.882
Re 0.118 0.882 0.382
Re 0.382 0.118 0.882
Re 0.382 0.382 0.382
Re 0.618 0.618 0.618
Re 0.618 0.882 0.118
Re 0.882 0.118 0.618
Re 0.882 0.382 0.118
Mo 0.000 0.000 0.000
Mo 0.000 0.500 0.500
Mo 0.500 0.000 0.500
Mo 0.500 0.500 0.000